[1]
Computed, not measured: Be3FeCo after structural relaxation at the PBE-GGA level of DFT.

## Properties
calculated total energy: -4.49 eV/atom
DOS(E_F): 2.8 states/eV/cell
magnetic moment: 2.1 μB/cell

Cell lengths 3.8328, 3.8328, 3.8328 Å; angles 90.00, 90.00, 90.00 degrees
Space group Pm-3m (No. 221)
Unique sites:
Be1 0.0000 0.0000 0.5000 (multiplicity 3)
Fe1 0.0000 0.0000 0.0000 (multiplicity 1)
Co1 0.5000 0.5000 0.5000 (multiplicity 1)



[2]
Computed, not measured: Be2FeCoGe after structural relaxation at the PBE-GGA level of DFT.

## Properties
calculated total energy: -4.97 eV/atom
DOS(E_F): 3.5 states/eV/cell
magnetic moment: 3.1 μB/cell

Cell lengths 3.9564, 3.9564, 4.3086 Å; angles 90.00, 90.00, 90.00 degrees
Space group P4/mmm (No. 123)
Unique sites:
Be1 0.0000 0.5000 0.0000 (multiplicity 2)
Fe1 0.0000 0.0000 0.5000 (multiplicity 1)
Co1 0.5000 0.5000 0.0000 (multiplicity 1)
Ge1 0.5000 0.5000 0.5000 (multiplicity 1)



[3]
Computed, not measured: Be2FeCoGe after structural relaxation at the PBE-GGA level of DFT.

## Properties
calculated total energy: -4.80 eV/atom
DOS(E_F): 7.4 states/eV/cell
magnetic moment: 2.1 μB/cell

Cell lengths 3.9947, 3.9947, 4.3527 Å; angles 90.00, 90.00, 90.00 degrees
Space group P4/mmm (No. 123)
Unique sites:
Be1 0.0000 0.5000 0.0000 (multiplicity 2)
Fe1 0.0000 0.0000 0.0000 (multiplicity 1)
Co1 0.5000 0.5000 0.5000 (multiplicity 1)
Ge1 0.0000 0.0000 0.5000 (multiplicity 1)



[4]
Computed, not measured: BeFe2CoH after structural relaxation at the PBE-GGA level of DFT.

## Properties
calculated total energy: -6.20 eV/atom
DOS(E_F): 3.2 states/eV/cell
magnetic moment: 6.0 μB/cell

Cell lengths 3.5522, 3.5522, 3.5129 Å; angles 90.00, 90.00, 90.00 degrees
Space group P4/mmm (No. 123)
Unique sites:
Be1 0.0000 0.0000 0.0000 (multiplicity 1)
Fe1 0.0000 0.5000 0.5000 (multiplicity 2)
Co1 0.5000 0.5000 0.0000 (multiplicity 1)
H1 0.0000 0.0000 0.5000 (multiplicity 1)



[5]
Computed, not measured: BeFe2CoH after structural relaxation at the PBE-GGA level of DFT.

## Properties
calculated total energy: -6.27 eV/atom
DOS(E_F): 2.1 states/eV/cell
magnetic moment: 5.9 μB/cell

Cell lengths 3.5801, 3.5801, 3.4909 Å; angles 90.00, 90.00, 90.00 degrees
Space group P4/mmm (No. 123)
Unique sites:
Be1 0.0000 0.0000 0.0000 (multiplicity 1)
Fe1 0.0000 0.5000 0.5000 (multiplicity 2)
Co1 0.5000 0.5000 0.0000 (multiplicity 1)
H1 0.5000 0.5000 0.5000 (multiplicity 1)



[6]
Computed, not measured: LiBeFeCo after structural relaxation at the PBE-GGA level of DFT.

## Properties
calculated total energy: -5.24 eV/atom
DOS(E_F): 11.7 states/eV/cell
magnetic moment: 12.3 μB/cell

Cell lengths 5.4695, 5.4695, 5.4695 Å; angles 90.00, 90.00, 90.00 degrees
Space group F-43m (No. 216)
Unique sites:
Li1 0.0000 0.0000 0.0000 (multiplicity 4)
Be1 0.2500 0.2500 0.7500 (multiplicity 4)
Fe1 0.2500 0.2500 0.2500 (multiplicity 4)
Co1 0.0000 0.0000 0.5000 (multiplicity 4)



[7]
Computed, not measured: Be2Fe5CoMo2 after structural relaxation at the PBE-GGA level of DFT.

## Properties
calculated total energy: -7.82 eV/atom
DOS(E_F): 21.4 states/eV/cell
magnetic moment: 15.7 μB/cell

Cell lengths 8.5060, 8.5060, 3.0711 Å; angles 90.00, 90.00, 90.00 degrees
Space group P4/mbm (No. 127)
Unique sites:
Be1 0.1211 0.3789 0.0000 (multiplicity 4)
Fe1 0.0000 0.5000 0.5000 (multiplicity 2)
Fe2 0.0635 0.2080 0.5000 (multiplicity 8)
Co1 0.0000 0.0000 0.0000 (multiplicity 2)
Mo1 0.1762 0.6762 0.0000 (multiplicity 4)



[8]
Computed, not measured: BeFeCoMo after structural relaxation at the PBE-GGA level of DFT.

## Properties
calculated total energy: -7.56 eV/atom
DOS(E_F): 12.8 states/eV/cell
magnetic moment: 4.0 μB/cell

Cell lengths 5.6648, 5.6648, 5.6648 Å; angles 90.00, 90.00, 90.00 degrees
Space group F-43m (No. 216)
Unique sites:
Be1 0.0000 0.0000 0.0000 (multiplicity 4)
Fe1 0.2500 0.2500 0.7500 (multiplicity 4)
Co1 0.2500 0.2500 0.2500 (multiplicity 4)
Mo1 0.0000 0.0000 0.5000 (multiplicity 4)



[9]
Computed, not measured: BeNb2Fe2Co5 after structural relaxation at the PBE-GGA level of DFT.

## Properties
calculated total energy: -7.59 eV/atom
DOS(E_F): 23.2 states/eV/cell
magnetic moment: 9.7 μB/cell

Cell lengths 8.1855, 8.1855, 3.6527 Å; angles 90.00, 90.00, 90.00 degrees
Space group P4/mbm (No. 127)
Unique sites:
Be1 0.0000 0.0000 0.0000 (multiplicity 2)
Nb1 0.1663 0.3337 0.0000 (multiplicity 4)
Fe1 0.1335 0.6335 0.0000 (multiplicity 4)
Co1 0.0000 0.5000 0.5000 (multiplicity 2)
Co2 0.0663 0.8043 0.5000 (multiplicity 8)



[10]
Computed, not measured: Be2Nb2Fe5Co after structural relaxation at the PBE-GGA level of DFT.

## Properties
calculated total energy: -7.79 eV/atom
DOS(E_F): 18.0 states/eV/cell
magnetic moment: 15.6 μB/cell

Cell lengths 8.5093, 8.5093, 3.2144 Å; angles 90.00, 90.00, 90.00 degrees
Space group P4/mbm (No. 127)
Unique sites:
Be1 0.1195 0.3805 0.0000 (multiplicity 4)
Nb1 0.1765 0.6765 0.0000 (multiplicity 4)
Fe1 0.0000 0.5000 0.5000 (multiplicity 2)
Fe2 0.0646 0.2086 0.5000 (multiplicity 8)
Co1 0.0000 0.0000 0.0000 (multiplicity 2)



[11]
Computed, not measured: BeFeCo2P after structural relaxation at the PBE-GGA level of DFT.

## Properties
calculated total energy: -5.34 eV/atom
DOS(E_F): 3.9 states/eV/cell
magnetic moment: 5.2 μB/cell

Cell lengths 4.3525, 4.3525, 4.0416 Å; angles 90.00, 90.00, 90.00 degrees
Space group P4/mmm (No. 123)
Unique sites:
Be1 0.0000 0.0000 0.0000 (multiplicity 1)
Fe1 0.5000 0.5000 0.5000 (multiplicity 1)
Co1 0.0000 0.5000 0.5000 (multiplicity 2)
P1 0.5000 0.5000 0.0000 (multiplicity 1)



[12]
Computed, not measured: BeFeCo2Pt after structural relaxation at the PBE-GGA level of DFT.

## Properties
calculated total energy: -4.96 eV/atom
DOS(E_F): 6.6 states/eV/cell
magnetic moment: 7.6 μB/cell

Cell lengths 4.5908, 4.5908, 4.6369 Å; angles 90.00, 90.00, 90.00 degrees
Space group P4/mmm (No. 123)
Unique sites:
Be1 0.0000 0.0000 0.0000 (multiplicity 1)
Fe1 0.5000 0.5000 0.0000 (multiplicity 1)
Co1 0.0000 0.5000 0.5000 (multiplicity 2)
Pt1 0.5000 0.5000 0.5000 (multiplicity 1)